Pd2SN | GGA-PBE | relaxed

abc: 4.1629 4.1629 4.1629
angles: 60.00 60.00 60.00
Fractional positions:
Pd: 0.7500 0.7500 0.7500
Pd: 0.2500 0.2500 0.2500
S: 0.5000 0.5000 0.5000
N: 0.0000 0.0000 0.0000

Values from the calculation:
Raw formation energy ... 815 meV per atom
Energy above the most stable polymorph in this dataset ... 369.5 meV/atom
E_tot ... -4.894 eV/atom
Magnetization ... 0.00 μB per atom